(1)
Li3Ag | PBE | relaxed

Summary:
Offset from the most stable computed form, kcal/mol of atoms: 0.56
Calculated formation energy, eV/atom: -0.122
Total magnetic moment, μB/f.u.: 0.00
E, eV/cell: -36.32

Cell: 5.062 9.281 5.848 Å, 90.00 90.00 90.00°
Space group Pnma (No. 62)
Inequivalent atoms, fractional coordinates:
Li 0.066 0.250 0.112
Li 0.234 0.510 0.368
Ag 0.084 0.250 0.611

=====

(2)
PaTaMo | PBE | relaxed

Summary:
Offset from the most stable computed form, kcal/mol of atoms: 8.60
Calculated formation energy, eV/atom: 0.485
Total magnetic moment, μB/f.u.: 0.00
E, eV/cell: -61.45

Cell: 5.494 3.018 7.309 Å, 90.00 90.00 90.00°
Space group Pmma (No. 51)
Inequivalent atoms, fractional coordinates:
Pa 0.000 0.000 0.000
Ta 0.250 0.000 0.369
Mo 0.250 0.500 0.658

=====

(3)
Tb3Ho4Er4 | PBE | relaxed

Summary:
Offset from the most stable computed form, kcal/mol of atoms: 2.78
Calculated formation energy, eV/atom: 0.181
Total magnetic moment, μB/f.u.: 0.00
E, eV/cell: -96.93

Cell: 3.504 11.093 18.094 Å, 90.00 90.00 90.00°
Space group Immm (No. 71)
Inequivalent atoms, fractional coordinates:
Tb 0.000 0.000 0.000
Tb 0.000 0.500 0.109
Ho 0.000 0.000 0.220
Ho 0.000 0.208 0.500
Er 0.000 0.258 0.329

=====

(4)
Mg2Ag2Au | PBE | relaxed

Summary:
Offset from the most stable computed form, kcal/mol of atoms: 4.19
Calculated formation energy, eV/atom: -0.120
Total magnetic moment, μB/f.u.: 0.00
E, eV/cell: -25.54

Cell: 3.744 3.744 14.633 Å, 90.00 90.00 90.00°
Space group I4/mmm (No. 139)
Inequivalent atoms, fractional coordinates:
Mg 0.000 0.000 0.098
Ag 0.000 0.500 0.250
Au 0.000 0.000 0.500

=====

(5)
Sm3Ho3Er5 | PBE | relaxed

Summary:
Calculated formation energy, eV/atom: 0.827
Total magnetic moment, μB/f.u.: 0.00
E, eV/cell: -41.61

Cell: 9.6135 9.6135 5.4268 Å, 90.00 90.00 120.00°
Space group P-62m (No. 189)
Inequivalent atoms, fractional coordinates:
Sm 0.0000 0.3680 0.0000
Ho 0.0000 0.5523 0.5000
Er 0.0000 0.7351 0.0000
Er 0.3333 0.6667 0.0000

=====

(6)
BaBe4As | PBE | relaxed

Summary:
Calculated formation energy, eV/atom: 0.700
Total magnetic moment, μB/f.u.: 0.00
E, eV/cell: -69.11

Cell: 7.374 7.374 7.374 Å, 90.00 90.00 90.00°
Space group F-43m (No. 216)
Inequivalent atoms, fractional coordinates:
Ba 0.000 0.000 0.000
Be 0.114 0.114 0.614
As 0.250 0.250 0.250